NaTbAg3Te4 after structural relaxation, computed with GGA-PBE.

Cell: 6.4260 8.4413 10.5347 Å, 90.00 105.46 90.00°
Positions (direct):
Te  0.9285  0.0263  0.2630
Te  0.5022  0.7500  0.5887
Te  0.6991  0.2500  0.9586
Te  0.3009  0.7500  0.0414
Te  0.0715  0.9737  0.7370
Te  0.4978  0.2500  0.4113
Te  0.0715  0.5263  0.7370
Te  0.9285  0.4737  0.2630
Tb  0.2240  0.7500  0.3066
Tb  0.7760  0.2500  0.6934
Ag  0.7652  0.5605  0.4762
Ag  0.2348  0.4395  0.5238
Ag  0.2348  0.0605  0.5238
Ag  0.6856  0.7500  0.2293
Ag  0.3144  0.2500  0.7707
Ag  0.7652  0.9395  0.4762
Na  0.2780  0.2500  0.0791
Na  0.7220  0.7500  0.9209

Values from the calculation:
The calculated total energy is -62.50 eV/cell. The spin magnetization is 0.0 Bohr magnetons per cell. The symmetry is P2_1/m.